Material: Ca2NbWN5
Method: DFT, PBE
State: optimized geometry

For the volume, the calculation gives 503.8 Å³/cell. The raw total energy comes out at -8.5229 eV/atom. As for the uncorrected formation energy: -777 kJ/mol of formula units.

The structure belongs to space group Cmc2_1 (No. 36); the cell edges are 3.328, 13.731 and 11.024 Å and the angles 90.00°, 90.00° and 90.00°. The distinct sites, in fractional coordinates, are Ca at (0.000, 0.092, 0.000), Ca at (0.000, 0.144, 0.663), Nb at (0.000, 0.227, 0.386), W at (0.000, 0.445, 0.774), N at (0.000, 0.045, 0.362), N at (0.000, 0.277, 0.995), N at (0.000, 0.312, 0.741), N at (0.000, 0.360, 0.342) and N at (0.000, 0.497, 0.125).